A geometry-optimized Pm3SmTh3 structure, computed with GGA-PBE.

```
data_Pm3SmTh3
_chemical_formula_sum 'Pm6 Sm2 Th6'
_cell_length_a 9.599
_cell_length_b 9.599
_cell_length_c 5.927
_cell_angle_alpha 90.00
_cell_angle_beta 90.00
_cell_angle_gamma 120.00
_symmetry_space_group_name_H-M 'P 1'
_symmetry_Int_Tables_number 1
_symmetry_space_group_name_Hall 'P 1'
loop_
_atom_site_label
_atom_site_type_symbol
_atom_site_fract_x
_atom_site_fract_y
_atom_site_fract_z
Pm1 Pm 0.043 0.242 0.250
Pm2 Pm 0.199 0.957 0.250
Pm3 Pm 0.242 0.199 0.750
Pm4 Pm 0.758 0.801 0.250
Pm5 Pm 0.801 0.043 0.750
Pm6 Pm 0.957 0.758 0.750
Sm1 Sm 0.333 0.667 0.250
Sm2 Sm 0.667 0.333 0.750
Th1 Th 0.103 0.489 0.750
Th2 Th 0.386 0.897 0.750
Th3 Th 0.489 0.386 0.250
Th4 Th 0.511 0.614 0.750
Th5 Th 0.614 0.103 0.250
Th6 Th 0.897 0.511 0.250
```



A geometry-optimized KZnCo2 structure, computed with GGA-PBE.

```
data_KZnCo2
_chemical_formula_sum 'K2 Zn2 Co4'
_cell_length_a 2.645
_cell_length_b 5.387
_cell_length_c 10.339
_cell_angle_alpha 90.00
_cell_angle_beta 90.00
_cell_angle_gamma 90.00
_symmetry_space_group_name_H-M 'P 1'
_symmetry_Int_Tables_number 1
_symmetry_space_group_name_Hall 'P 1'
loop_
_atom_site_label
_atom_site_type_symbol
_atom_site_fract_x
_atom_site_fract_y
_atom_site_fract_z
K1 K 0.000 0.000 0.000
K2 K 0.500 0.500 0.500
Zn1 Zn 0.000 0.500 0.197
Zn2 Zn 0.500 0.000 0.697
Co1 Co 0.000 0.000 0.486
Co2 Co 0.000 0.500 0.802
Co3 Co 0.500 0.000 0.302
Co4 Co 0.500 0.500 0.986
```



A geometry-optimized LiAl2Cd structure, computed with GGA-PBE.

```
data_LiAl2Cd
_chemical_formula_sum 'Li2 Al4 Cd2'
_cell_length_a 5.642
_cell_length_b 8.853
_cell_length_c 2.930
_cell_angle_alpha 90.00
_cell_angle_beta 90.00
_cell_angle_gamma 90.00
_symmetry_space_group_name_H-M 'P 1'
_symmetry_Int_Tables_number 1
_symmetry_space_group_name_Hall 'P 1'
loop_
_atom_site_label
_atom_site_type_symbol
_atom_site_fract_x
_atom_site_fract_y
_atom_site_fract_z
Li1 Li 0.000 0.000 0.000
Li2 Li 0.500 0.500 0.000
Al1 Al 0.250 0.250 0.500
Al2 Al 0.250 0.750 0.500
Al3 Al 0.750 0.250 0.500
Al4 Al 0.750 0.750 0.500
Cd1 Cd 0.000 0.500 0.000
Cd2 Cd 0.500 0.000 0.000
```



Formation energy from the elements readings, ordered: 0.074; 0.720; -0.001 eV per atom